Record 1
Density functional theory data (GGA-PBE) for a relaxed structure of Be2InN.

```
8
Lattice="5.241 0.000 0.000 0.000 5.241 0.000 2.621 2.621 3.716" Properties=species:S:1:pos:R:3 pbc="T T T"
Be 2.990 1.310 0.929
Be 2.251 3.931 0.929
Be 3.931 4.871 2.787
Be 6.551 5.611 2.787
N 2.621 2.621 0.000
N 2.621 5.241 1.858
In 0.000 0.000 0.000
In 5.241 2.621 1.858
```

Calculated values
Total magnetic moment ... 0.000 μB/f.u.
Energy relative to the elements, uncorrected ... -0.285 eV/atom
Density of states at the Fermi level ... 0.003 states/eV per atom
E ... -39.3 eV/cell
Calculated volume ... 102 Å³ per cell

=====

Record 2
Density functional theory data (GGA-PBE) for a relaxed structure of Zn2CrMo.

```
4
Lattice="-1.883 2.484 -1.470 -2.907 -0.821 2.337 1.481 2.794 2.825" Properties=species:S:1:pos:R:3 pbc="T T T"
Cr -0.201 2.639 0.677
Mo -0.713 0.987 2.581
Zn 0.000 0.000 0.000
Zn -2.395 0.831 0.433
```

Calculated values
Total magnetic moment ... 0.886 μB/f.u.
Density of states at the Fermi level ... 0.512 states/eV per atom
E ... -22.4 eV/cell
Calculated volume ... 56 Å³ per cell

=====

Record 3
Density functional theory data (GGA-PBE) for a relaxed structure of RbFeCl3.

```
10
Lattice="5.368 0.051 0.039 0.240 7.749 0.122 0.238 2.069 7.473" Properties=species:S:1:pos:R:3 pbc="T T T"
Rb 0.194 2.304 4.359
Rb 2.814 6.350 1.618
Fe 4.305 6.233 5.650
Fe 4.065 2.468 0.364
Cl 2.995 4.350 5.940
Cl 5.613 6.420 7.546
Cl 2.893 2.830 2.270
Cl 3.132 8.168 5.524
Cl 5.242 0.535 0.491
Cl 5.481 5.874 3.746
```

Calculated values
Total magnetic moment ... 4.000 μB/f.u.
Energy relative to the elements, uncorrected ... -1.251 eV/atom
Density of states at the Fermi level ... 0.395 states/eV per atom
E ... -42.5 eV/cell
Calculated volume ... 309 Å³ per cell